[1]
A geometry-optimized InHgRhPb2 structure, computed with PBE.

Summary:
The total moment is 0.00 μB/atom. The formation energy is 0.014 eV/atom.

CIF file:
```
data_InHgRhPb2
_chemical_formula_sum 'In1 Hg1 Rh1 Pb2'
_symmetry_space_group_name_H-M 'P 4/m m m'
_symmetry_Int_Tables_number 123
_symmetry_space_group_name_Hall '-P 4 2'
_cell_length_a 5.312
_cell_length_b 5.312
_cell_length_c 5.187
_cell_angle_alpha 90.00
_cell_angle_beta 90.00
_cell_angle_gamma 90.00
loop_
_atom_site_label
_atom_site_fract_x
_atom_site_fract_y
_atom_site_fract_z
_atom_site_occupancy
In1 0.000 0.000 0.000 1
Hg1 0.500 0.500 0.000 1
Rh1 0.000 0.000 0.500 1
Pb1 0.000 0.500 0.500 1
```

---

[2]
A geometry-optimized CaSm12In3 structure, computed with PBE.

Summary:
The total moment is 0.00 μB/atom. The formation energy is -0.171 eV/atom.

CIF file:
```
data_CaSm12In3
_chemical_formula_sum 'Ca1 Sm12 In3'
_symmetry_space_group_name_H-M 'P 4/m m m'
_symmetry_Int_Tables_number 123
_symmetry_space_group_name_Hall '-P 4 2'
_cell_length_a 4.957
_cell_length_b 4.957
_cell_length_c 20.289
_cell_angle_alpha 90.00
_cell_angle_beta 90.00
_cell_angle_gamma 90.00
loop_
_atom_site_label
_atom_site_fract_x
_atom_site_fract_y
_atom_site_fract_z
_atom_site_occupancy
Ca1 0.000 0.000 0.000 1
Sm1 0.000 0.500 0.136 1
Sm2 0.000 0.500 0.378 1
Sm3 0.500 0.500 0.000 1
Sm4 0.500 0.500 0.256 1
Sm5 0.500 0.500 0.500 1
In1 0.000 0.000 0.258 1
In2 0.000 0.000 0.500 1
```

---

Q: Which formula does entry 2 have?
A: CaSm12In3

---

Q: Which formula does entry 1 have?
A: InHgRhPb2

---

Q: What is the total moment in the second record?
A: 0.00 μB/atom

---

Q: Which value of total moment does entry 1 give?
A: 0.00 μB/atom